# CdSb12Pd4

A relaxed CdSb12Pd4 crystal (GGA-PBE, Alexandria via LeMat-Bulk).

Geometry as CIF:
```
data_CdSb12Pd4
_space_group_name_H-M_alt 'P 1'
_space_group_IT_number 1
_space_group_name_Hall 'P 1'
_cell_length_a 8.301
_cell_length_b 8.301
_cell_length_c 8.301
_cell_angle_alpha 109.47
_cell_angle_beta 109.47
_cell_angle_gamma 109.47
loop_
_atom_site_label
_atom_site_type_symbol
_atom_site_fract_x
_atom_site_fract_y
_atom_site_fract_z
Cd1 Cd 0.000 0.000 0.000
Sb1 Sb 0.154 0.344 0.499
Sb2 Sb 0.154 0.656 0.810
Sb3 Sb 0.190 0.846 0.344
Sb4 Sb 0.344 0.190 0.846
Sb5 Sb 0.344 0.499 0.154
Sb6 Sb 0.499 0.154 0.344
Sb7 Sb 0.501 0.846 0.656
Sb8 Sb 0.656 0.501 0.846
Sb9 Sb 0.656 0.810 0.154
Sb10 Sb 0.810 0.154 0.656
Sb11 Sb 0.846 0.344 0.190
Sb12 Sb 0.846 0.656 0.501
Pd1 Pd 0.000 0.000 0.500
Pd2 Pd 0.000 0.500 0.000
Pd3 Pd 0.500 0.000 0.000
Pd4 Pd 0.500 0.500 0.500
```

The symmetry is Im-3, No. 204. The calculation puts the total energy at -4.4112 eV per atom. As for the uncorrected formation energy: -0.2256 eV per atom.